[1]
First-principles (PBE-GGA) data for AlAg6Sn after structural relaxation, as listed in Alexandria.

a = 4.2189 Å, b = 4.2189 Å, c = 8.2381 Å
α = 90.00°, β = 90.00°, γ = 90.00°
With the nearest neighbours (Å) after each atom.
Space group P4/mmm (No. 123)
One atom of each set of equivalent atoms:
Al 0.0000 0.0000 0.0000 x1  12 Ag 2.88-2.98
Ag 0.0000 0.5000 0.2372 x4  2 Al 2.88, 8 Ag 2.88-3.02, 2 Sn 3.02
Ag 0.5000 0.5000 0.0000 x1  8 Ag 2.88, 4 Al 2.98
Ag 0.5000 0.5000 0.5000 x1  4 Sn 2.98, 8 Ag 3.02
Sn 0.0000 0.0000 0.5000 x1  12 Ag 2.98-3.02

Results
N(E_F) = 3.6 states/eV/f.u.
Energy of formation = 0.005 eV/atom
Crystal system = tetragonal

***

[2]
First-principles (PBE-GGA) data for Na5B2O5 after structural relaxation, as listed in Alexandria.

a = 10.2490 Å, b = 2.7781 Å, c = 9.2681 Å
α = 90.00°, β = 90.43°, γ = 90.00°
With the nearest neighbours (Å) after each atom.
Space group C2/m (No. 12)
One atom of each set of equivalent atoms:
Na 0.0000 0.0000 0.0000 x2  4 O 2.65, 4 Na 2.78-2.86
Na 0.1554 0.0000 0.5886 x4  5 O 2.26-2.42, 1 Na 2.39
Na 0.2332 0.0000 0.8327 x4  1 Na 2.39, 4 O 2.46-2.47
B 0.0504 0.5000 0.3459 x4  2 O 1.39-1.52
O 0.0000 0.5000 0.5000 x2  2 B 1.52
O 0.0443 0.5000 0.7623 x4  1 B 1.39
O 0.1445 0.0000 0.3386 x4  2 B 1.69

Results
N(E_F) = 1.1 states/eV/f.u.
Crystal system = monoclinic
Uncorrected formation energy = -1526 meV per atom

***

[3]
First-principles (PBE-GGA) data for AsPC after structural relaxation, as listed in Alexandria.

a = 12.9072 Å, b = 4.2175 Å, c = 4.2284 Å
α = 90.00°, β = 107.74°, γ = 90.00°
With the nearest neighbours (Å) after each atom.
Space group C2 (No. 5)
One atom of each set of equivalent atoms:
As 0.1442 0.0000 0.3488 x4  2 C 2.03
P 0.1580 0.5939 0.9549 x4  2 C 1.86
C 0.2500 0.3053 0.2381 x4  2 P 1.86, 2 As 2.03

Results
Energy of formation = 0.395 eV/atom
Crystal system = monoclinic

***

[4]
First-principles (PBE-GGA) data for Mg15Al2Tl2 after structural relaxation, as listed in Alexandria.

a = 10.1084 Å, b = 10.1084 Å, c = 15.7448 Å
α = 90.00°, β = 90.00°, γ = 120.00°
With the nearest neighbours (Å) after each atom.
Space group R-3m (No. 166, hexagonal axes)
One atom of each set of equivalent atoms:
Mg 0.0000 0.3177 0.0000 x18  8 Mg 3.08-3.21
Mg 0.0000 0.5000 0.5000 x9  8 Mg 2.91-3.08, 2 Al 3.17
Mg 0.0027 0.5014 0.8378 x18  8 Mg 2.91-3.15, 1 Al 3.18
Al 0.0000 0.0000 0.0872 x6  1 Al 2.75
Tl 0.0000 0.0000 0.3087 x6  12 Mg 3.47-3.68, 1 Al 3.49

Results
N(E_F) = 10.2 states/eV/f.u.
Energy of formation = 0.112 eV/atom
Crystal system = trigonal

***

[5]
First-principles (PBE-GGA) data for Sm2IrI3 after structural relaxation, as listed in Alexandria.

a = 18.2567 Å, b = 4.4129 Å, c = 12.6060 Å
α = 90.00°, β = 121.67°, γ = 90.00°
With the nearest neighbours (Å) after each atom.
Space group C2/m (No. 12)
One atom of each set of equivalent atoms:
Sm 0.0827 0.0000 0.4080 x4  1 Ir 2.62
Sm 0.1304 0.5000 0.8001 x4  2 Ir 2.83
Ir 0.0741 0.0000 0.6350 x4  3 Sm 2.62-2.83
I 0.0517 0.5000 0.2091 x4  3 Sm 3.16-3.26
I 0.1629 0.0000 0.0206 x4  3 Sm 3.22-3.35
I 0.2072 0.5000 0.6063 x4  3 Sm 3.21-3.40, 2 Ir 3.44

Results
Crystal system = monoclinic
Uncorrected formation energy = -1014 meV per atom

***

[6]
First-principles (PBE-GGA) data for Pm6GeSb2 after structural relaxation, as listed in Alexandria.

a = 8.4531 Å, b = 8.4531 Å, c = 4.3191 Å
α = 90.00°, β = 90.00°, γ = 120.00°
With the nearest neighbours (Å) after each atom.
Space group P-62m (No. 189)
One atom of each set of equivalent atoms:
Pm 0.0000 0.2484 0.0000 x3  2 Ge 3.01, 2 Sb 3.24
Pm 0.0000 0.5889 0.5000 x3  4 Sb 3.34, 1 Ge 3.47, 6 Pm 3.60-3.72
Ge 0.0000 0.0000 0.5000 x1  6 Pm 3.01
Sb 0.3333 0.6667 0.0000 x2  9 Pm 3.24-3.34

Results
N(E_F) = 11.8 states/eV/f.u.
Crystal system = hexagonal
Uncorrected formation energy = -760 meV per atom

***

[7]
First-principles (PBE-GGA) data for Ac4Te3I after structural relaxation, as listed in Alexandria.

a = 4.7853 Å, b = 4.7853 Å, c = 45.1948 Å
α = 90.00°, β = 90.00°, γ = 120.00°
With the nearest neighbours (Å) after each atom.
Space group R-3m (No. 166, hexagonal axes)
One atom of each set of equivalent atoms:
Ac 0.0000 0.0000 0.1234 x6  3 Te 3.30, 3 I 3.38
Ac 0.0000 0.0000 0.3758 x6  6 Te 3.33-3.36
Te 0.0000 0.0000 0.0000 x3  6 Ac 3.36
Te 0.0000 0.0000 0.2498 x6  6 Ac 3.30-3.33
I 0.0000 0.0000 0.5000 x3  6 Ac 3.38

Results
N(E_F) = 5.7 states/eV/f.u.
Crystal system = trigonal
Uncorrected formation energy = -1314 meV per atom

***

[8]
First-principles (PBE-GGA) data for Ac5ErPb4 after structural relaxation, as listed in Alexandria.

a = 20.8542 Å, b = 4.3655 Å, c = 9.5636 Å
α = 90.00°, β = 107.11°, γ = 90.00°
With the nearest neighbours (Å) after each atom.
Space group C2/m (No. 12)
One atom of each set of equivalent atoms:
Ac 0.0000 0.0000 0.0000 x2  4 Pb 3.35
Ac 0.1678 0.5000 0.3199 x4  4 Pb 3.39-3.41
Ac 0.1678 0.5000 0.8633 x4  3 Pb 3.35-3.38
Er 0.0000 0.0000 0.5000 x2  6 Pb 3.13-3.23
Pb 0.9998 0.5000 0.2657 x4  2 Er 3.13, 4 Ac 3.35-3.39
Pb 0.1619 0.0000 0.5903 x4  1 Er 3.23, 5 Ac 3.38-3.41

Results
N(E_F) = 11.4 states/eV/f.u.
Energy of formation = -0.225 eV/atom
Crystal system = monoclinic

***

What did the eighth record say?
First-principles (PBE-GGA) data for Ac5ErPb4 after structural relaxation, as listed in Alexandria.

a = 20.8542 Å, b = 4.3655 Å, c = 9.5636 Å
α = 90.00°, β = 107.11°, γ = 90.00°
With the nearest neighbours (Å) after each atom.
Space group C2/m (No. 12)
One atom of each set of equivalent atoms:
Ac 0.0000 0.0000 0.0000 x2  4 Pb 3.35
Ac 0.1678 0.5000 0.3199 x4  4 Pb 3.39-3.41
Ac 0.1678 0.5000 0.8633 x4  3 Pb 3.35-3.38
Er 0.0000 0.0000 0.5000 x2  6 Pb 3.13-3.23
Pb 0.9998 0.5000 0.2657 x4  2 Er 3.13, 4 Ac 3.35-3.39
Pb 0.1619 0.0000 0.5903 x4  1 Er 3.23, 5 Ac 3.38-3.41

Results
N(E_F) = 11.4 states/eV/f.u.
Energy of formation = -0.225 eV/atom
Crystal system = monoclinic

***

- Which formula does entry 3 have?
  AsPC